(1)
Li5In4Pb after structural relaxation, computed with PBE-GGA.

Output
D(E_F): 3.492 states/eV per cell
crystal system: tetragonal
magnetization: 0.000 μB per atom
density: 5.76 g/cm³
ΔE_f: -0.27 eV/atom

```
data_Li5In4Pb
_chemical_formula_sum 'Li5 In4 Pb1'
_cell_length_a 3.4796
_cell_length_b 3.4796
_cell_length_c 16.6921
_cell_angle_alpha 90.00
_cell_angle_beta 90.00
_cell_angle_gamma 90.00
_space_group_name_H-M_alt 'P 1'
_space_group_IT_number 1
loop_
_space_group_symop_operation_xyz
'x,y,z'
loop_
_atom_site_label
_atom_site_fract_x
_atom_site_fract_y
_atom_site_fract_z
_atom_site_occupancy
Li1 0.0000 0.0000 0.0000 1
Li2 0.0000 0.0000 0.1939 1
Li3 0.0000 0.0000 0.3920 1
Li4 0.0000 0.0000 0.6080 1
Li5 0.0000 0.0000 0.8061 1
In1 0.5000 0.5000 0.0963 1
In2 0.5000 0.5000 0.2920 1
In3 0.5000 0.5000 0.7080 1
In4 0.5000 0.5000 0.9037 1
Pb1 0.5000 0.5000 0.5000 1
```

(2)
LiIn2Pb after structural relaxation, computed with PBE-GGA.

Output
D(E_F): 2.904 states/eV per cell
crystal system: trigonal
magnetization: 0.000 μB per atom
density: 7.09 g/cm³
ΔE_f: -0.06 eV/atom

```
data_LiIn2Pb
_chemical_formula_sum 'Li1 In2 Pb1'
_cell_length_a 10.0122
_cell_length_b 10.0122
_cell_length_c 10.0122
_cell_angle_alpha 20.12
_cell_angle_beta 20.12
_cell_angle_gamma 20.12
_space_group_name_H-M_alt 'P 1'
_space_group_IT_number 1
loop_
_space_group_symop_operation_xyz
'x,y,z'
loop_
_atom_site_label
_atom_site_fract_x
_atom_site_fract_y
_atom_site_fract_z
_atom_site_occupancy
Li1 0.0000 0.0000 0.0000 1
In1 0.2587 0.2587 0.2587 1
In2 0.7413 0.7413 0.7413 1
Pb1 0.5000 0.5000 0.5000 1
```

(3)
Li2In3Pb3 after structural relaxation, computed with PBE-GGA.

Output
D(E_F): 2.451 states/eV per cell
crystal system: orthorhombic
magnetization: 0.000 μB per atom
density: 7.83 g/cm³
ΔE_f: -0.12 eV/atom

```
data_Li2In3Pb3
_chemical_formula_sum 'Li2 In3 Pb3'
_cell_length_a 4.6962
_cell_length_b 4.8693
_cell_length_c 9.0847
_cell_angle_alpha 90.00
_cell_angle_beta 90.00
_cell_angle_gamma 90.00
_space_group_name_H-M_alt 'P 1'
_space_group_IT_number 1
loop_
_space_group_symop_operation_xyz
'x,y,z'
loop_
_atom_site_label
_atom_site_fract_x
_atom_site_fract_y
_atom_site_fract_z
_atom_site_occupancy
Li1 0.0000 0.0000 0.2428 1
Li2 0.0000 0.0000 0.7572 1
In1 0.0000 0.5000 0.0000 1
In2 0.5000 0.5000 0.2454 1
In3 0.5000 0.5000 0.7546 1
Pb1 0.0000 0.5000 0.5000 1
Pb2 0.5000 0.0000 0.0000 1
Pb3 0.5000 0.0000 0.5000 1
```

(4)
Li3InPb6 after structural relaxation, computed with PBE-GGA.

Output
D(E_F): 6.930 states/eV per cell
crystal system: monoclinic
magnetization: 0.000 μB per atom
density: 8.75 g/cm³
ΔE_f: -0.13 eV/atom

```
data_Li3InPb6
_chemical_formula_sum 'Li6 In2 Pb12'
_cell_length_a 10.0387
_cell_length_b 4.9112
_cell_length_c 10.6497
_cell_angle_alpha 90.00
_cell_angle_beta 94.44
_cell_angle_gamma 90.00
_space_group_name_H-M_alt 'P 1'
_space_group_IT_number 1
loop_
_space_group_symop_operation_xyz
'x,y,z'
loop_
_atom_site_label
_atom_site_fract_x
_atom_site_fract_y
_atom_site_fract_z
_atom_site_occupancy
Li1 0.0453 0.2500 0.3963 1
Li2 0.1457 0.7500 0.1703 1
Li3 0.2440 0.2500 0.9659 1
Li4 0.7560 0.7500 0.0341 1
Li5 0.8543 0.2500 0.8297 1
Li6 0.9547 0.7500 0.6037 1
In1 0.4470 0.2500 0.5826 1
In2 0.5530 0.7500 0.4174 1
Pb1 0.0350 0.7500 0.8945 1
Pb2 0.1198 0.2500 0.6833 1
Pb3 0.2191 0.7500 0.4676 1
Pb4 0.3147 0.2500 0.2708 1
Pb5 0.3477 0.7500 0.7762 1
Pb6 0.4373 0.7500 0.0908 1
Pb7 0.5627 0.2500 0.9092 1
Pb8 0.6523 0.2500 0.2238 1
Pb9 0.6853 0.7500 0.7292 1
Pb10 0.7809 0.2500 0.5324 1
Pb11 0.8802 0.7500 0.3167 1
Pb12 0.9650 0.2500 0.1055 1
```

(5)
LiInPb2 after structural relaxation, computed with PBE-GGA.

Output
D(E_F): 0.685 states/eV per cell
crystal system: tetragonal
magnetization: 0.000 μB per atom
density: 8.54 g/cm³
ΔE_f: -0.11 eV/atom

```
data_LiInPb2
_chemical_formula_sum 'Li1 In1 Pb2'
_cell_length_a 3.4407
_cell_length_b 3.4407
_cell_length_c 8.8050
_cell_angle_alpha 90.00
_cell_angle_beta 90.00
_cell_angle_gamma 90.00
_space_group_name_H-M_alt 'P 1'
_space_group_IT_number 1
loop_
_space_group_symop_operation_xyz
'x,y,z'
loop_
_atom_site_label
_atom_site_fract_x
_atom_site_fract_y
_atom_site_fract_z
_atom_site_occupancy
Li1 0.0000 0.0000 0.0000 1
In1 0.5000 0.5000 0.7919 1
Pb1 0.0000 0.0000 0.5134 1
Pb2 0.5000 0.5000 0.2225 1
```

(6)
LiInPb2 after structural relaxation, computed with PBE-GGA.

Output
D(E_F): 1.407 states/eV per cell
crystal system: monoclinic
magnetization: 0.000 μB per atom
density: 8.32 g/cm³
ΔE_f: -0.11 eV/atom

```
data_LiInPb2
_chemical_formula_sum 'Li1 In1 Pb2'
_cell_length_a 5.9353
_cell_length_b 5.9353
_cell_length_c 5.5984
_cell_angle_alpha 103.83
_cell_angle_beta 103.83
_cell_angle_gamma 34.06
_space_group_name_H-M_alt 'P 1'
_space_group_IT_number 1
loop_
_space_group_symop_operation_xyz
'x,y,z'
loop_
_atom_site_label
_atom_site_fract_x
_atom_site_fract_y
_atom_site_fract_z
_atom_site_occupancy
Li1 0.0000 0.0000 0.0000 1
In1 0.7273 0.7273 0.2733 1
Pb1 0.2553 0.2553 0.8027 1
Pb2 0.4888 0.4888 0.4934 1
```

- What is the density in the fourth record?
  8.75 g/cm³

What did the second record say?
LiIn2Pb after structural relaxation, computed with PBE-GGA.

Output
D(E_F): 2.904 states/eV per cell
crystal system: trigonal
magnetization: 0.000 μB per atom
density: 7.09 g/cm³
ΔE_f: -0.06 eV/atom

```
data_LiIn2Pb
_chemical_formula_sum 'Li1 In2 Pb1'
_cell_length_a 10.0122
_cell_length_b 10.0122
_cell_length_c 10.0122
_cell_angle_alpha 20.12
_cell_angle_beta 20.12
_cell_angle_gamma 20.12
_space_group_name_H-M_alt 'P 1'
_space_group_IT_number 1
loop_
_space_group_symop_operation_xyz
'x,y,z'
loop_
_atom_site_label
_atom_site_fract_x
_atom_site_fract_y
_atom_site_fract_z
_atom_site_occupancy
Li1 0.0000 0.0000 0.0000 1
In1 0.2587 0.2587 0.2587 1
In2 0.7413 0.7413 0.7413 1
Pb1 0.5000 0.5000 0.5000 1
```

What did the second record say?
LiIn2Pb after structural relaxation, computed with PBE-GGA.

Output
D(E_F): 2.904 states/eV per cell
crystal system: trigonal
magnetization: 0.000 μB per atom
density: 7.09 g/cm³
ΔE_f: -0.06 eV/atom

```
data_LiIn2Pb
_chemical_formula_sum 'Li1 In2 Pb1'
_cell_length_a 10.0122
_cell_length_b 10.0122
_cell_length_c 10.0122
_cell_angle_alpha 20.12
_cell_angle_beta 20.12
_cell_angle_gamma 20.12
_space_group_name_H-M_alt 'P 1'
_space_group_IT_number 1
loop_
_space_group_symop_operation_xyz
'x,y,z'
loop_
_atom_site_label
_atom_site_fract_x
_atom_site_fract_y
_atom_site_fract_z
_atom_site_occupancy
Li1 0.0000 0.0000 0.0000 1
In1 0.2587 0.2587 0.2587 1
In2 0.7413 0.7413 0.7413 1
Pb1 0.5000 0.5000 0.5000 1
```